First-principles (GGA-PBE) data for a relaxed DyHfFeCu crystal, as listed in the Alexandria database.

Values from the calculation:
N(E_F), states/eV/f.u.: 2.97
E, eV for the cell shown: -27.34
Energy of formation from the pure elements, eV per atom: -0.06

```
DyHfFeCu
1.0
4.650 0.000 0.000
2.325 4.027 0.000
2.325 1.342 3.797
Cu Fe Hf Dy
1 1 1 1
Direct
0.750 0.750 0.750 Cu
0.250 0.250 0.250 Fe
0.000 0.000 0.000 Hf
0.500 0.500 0.500 Dy
```

First-principles (GGA-PBE) data for a relaxed Ac12MgNi7 crystal, as listed in the Alexandria database.

Values from the calculation:
N(E_F), states/eV/f.u.: 23.16
E, eV for the cell shown: -94.18
Energy of formation from the pure elements, eV per atom: -0.14

```
Ac12MgNi7
1.0
8.985 -0.534 -2.972
-3.954 8.086 -2.972
-0.356 -0.534 9.457
Ac Mg Ni
12 1 7
Direct
0.118 0.326 0.405 Ac
0.893 0.334 0.748 Ac
0.674 0.595 0.882 Ac
0.405 0.118 0.326 Ac
0.326 0.405 0.118 Ac
0.748 0.893 0.334 Ac
0.252 0.107 0.666 Ac
0.334 0.748 0.893 Ac
0.595 0.882 0.674 Ac
0.666 0.252 0.107 Ac
0.882 0.674 0.595 Ac
0.107 0.666 0.252 Ac
0.000 0.000 0.000 Mg
0.259 0.031 0.944 Ni
0.056 0.741 0.969 Ni
0.944 0.259 0.031 Ni
0.500 0.500 0.500 Ni
0.031 0.944 0.259 Ni
0.741 0.969 0.056 Ni
0.969 0.056 0.741 Ni
```

First-principles (GGA-PBE) data for a relaxed TaZnIr2 crystal, as listed in the Alexandria database.

Values from the calculation:
N(E_F), states/eV/f.u.: 2.11
E, eV for the cell shown: -32.15
Energy of formation from the pure elements, eV per atom: -0.33

```
TaZnIr2
1.0
4.039 0.000 0.000
0.000 2.845 0.018
0.000 2.836 5.373
Ta Ir Zn
1 2 1
Direct
0.000 0.508 0.491 Ta
0.500 0.229 0.270 Ir
0.000 0.037 0.964 Ir
0.500 0.726 0.774 Zn
```

First-principles (GGA-PBE) data for a relaxed KSbO3 crystal, as listed in the Alexandria database.

Values from the calculation:
N(E_F), states/eV/f.u.: 0.00
E, eV for the cell shown: -56.55

```
KSbO3
1.0
6.957 0.001 0.000
4.804 5.033 0.000
4.804 2.056 4.593
O Sb K
6 2 2
Direct
0.165 0.965 0.557 O
0.557 0.165 0.965 O
0.835 0.035 0.443 O
0.035 0.443 0.835 O
0.965 0.557 0.165 O
0.443 0.835 0.035 O
0.836 0.836 0.836 Sb
0.164 0.164 0.164 Sb
0.639 0.639 0.639 K
0.361 0.361 0.361 K
```

First-principles (GGA-PBE) data for a relaxed LiHoIn2I6 crystal, as listed in the Alexandria database.

Values from the calculation:
N(E_F), states/eV/f.u.: 0.00
E, eV for the cell shown: -30.81

```
LiHoIn2I6
1.0
-0.506 -7.210 4.064
0.116 -7.151 -4.205
6.778 -4.980 0.468
I Li Ho In
6 1 1 2
Direct
0.664 0.088 0.766 I
0.088 0.482 0.766 I
0.482 0.664 0.766 I
0.579 0.162 0.269 I
0.990 0.579 0.269 I
0.162 0.990 0.270 I
0.815 0.815 0.555 Li
0.323 0.323 0.030 Ho
0.532 0.532 0.404 In
0.026 0.026 0.921 In
```

First-principles (GGA-PBE) data for a relaxed Nd2AgP crystal, as listed in the Alexandria database.

Values from the calculation:
N(E_F), states/eV/f.u.: 4.46
E, eV for the cell shown: -21.02
Energy of formation from the pure elements, eV per atom: -0.81

```
Nd2AgP
1.0
-3.979 1.302 0.116
-2.141 0.512 -3.563
-4.300 -6.337 -0.789
P Ag Nd
1 1 2
Direct
0.000 0.000 0.000 P
0.500 0.500 0.500 Ag
0.738 0.738 0.787 Nd
0.262 0.262 0.213 Nd
```

First-principles (GGA-PBE) data for a relaxed AcZn2AsP crystal, as listed in the Alexandria database.

Values from the calculation:
N(E_F), states/eV/f.u.: 1.51
E, eV for the cell shown: -19.67
Energy of formation from the pure elements, eV per atom: -0.59

```
AcZn2AsP
1.0
3.991 0.000 0.000
0.000 3.991 0.000
-1.996 -1.996 6.574
Zn P As Ac
2 1 1 1
Direct
0.754 0.254 0.508 Zn
0.254 0.754 0.508 Zn
0.871 0.871 0.742 P
0.127 0.127 0.254 As
0.494 0.494 0.988 Ac
```

First-principles (GGA-PBE) data for a relaxed CdGe2Pb2 crystal, as listed in the Alexandria database.

Values from the calculation:
N(E_F), states/eV/f.u.: 2.12
Distance to the lowest polymorph of the same formula, meV per atom: 144.1
E, eV for the cell shown: -32.37
Energy of formation from the pure elements, eV per atom: 0.28

```
CdGe2Pb2
1.0
8.919 0.000 0.000
0.000 8.919 0.000
0.000 0.000 3.381
Cd Pb Ge
2 4 4
Direct
0.000 0.000 0.000 Cd
0.500 0.500 0.000 Cd
0.350 0.850 0.000 Pb
0.850 0.650 0.000 Pb
0.650 0.150 0.000 Pb
0.150 0.350 0.000 Pb
0.355 0.145 0.500 Ge
0.645 0.855 0.500 Ge
0.855 0.355 0.500 Ge
0.145 0.645 0.500 Ge
```